SiBiPd2Ru | GGA-PBE | relaxed

Unit cell a=4.5907 b=4.5907 c=4.5429 alpha=90.00 beta=90.00 gamma=90.00
Last column: nearest neighbours and their distance in Å.
Positions (direct):
Si  0.0000  0.0000  0.0000  2 Ru 2.27, 4 Pd 2.30
Bi  0.5000  0.5000  0.5000  8 Pd 3.23, 4 Ru 3.25
Pd  0.0000  0.5000  0.0000  2 Si 2.30
Pd  0.5000  0.0000  0.0000  2 Si 2.30
Ru  0.0000  0.0000  0.5000  2 Si 2.27

- Formation energy (no corrections): 0.064 eV per atom
- Space group: No. 123
- D(E_F): 3.5 states/eV per cell
- Magnetic moment: 0.68 μB/cell

***

Li2UTl2Se4 | GGA-PBE | relaxed

Unit cell a=8.0060 b=8.0060 c=7.7339 alpha=109.78 beta=109.78 gamma=30.81
Last column: nearest neighbours and their distance in Å.
Positions (direct):
Li  0.1818  0.1818  0.4867  4 Se 2.55-2.61
Li  0.8182  0.8182  0.5133  4 Se 2.55-2.61
U  0.5000  0.5000  0.5000  6 Se 2.85
Tl  0.3608  0.3608  0.9356  7 Se 3.38-3.57, 3 Li 3.60-3.76
Tl  0.6392  0.6392  0.0644  7 Se 3.38-3.57, 3 Li 3.60-3.76
Se  0.0141  0.0141  0.2652  1 Li 2.55, 2 U 2.85
Se  0.3042  0.3042  0.3234  3 Li 2.55-2.61, 1 U 2.85
Se  0.6958  0.6958  0.6766  3 Li 2.55-2.61, 1 U 2.85
Se  0.9859  0.9859  0.7348  1 Li 2.55, 2 U 2.85

- Formation energy (no corrections): -0.948 eV per atom
- Space group: No. 12
- D(E_F): 4.2 states/eV per cell
- Magnetic moment: 2.00 μB/cell

***

K2NaTl16 | GGA-PBE | relaxed

Unit cell a=8.6768 b=8.6768 c=8.6768 alpha=81.80 beta=81.80 gamma=81.80
Last column: nearest neighbours and their distance in Å.
Positions (direct):
K  0.0000  0.0000  0.0000  12 Tl 3.92-4.10, 1 Na 4.28
K  0.3173  0.3173  0.3173  16 Tl 3.93-4.38
Na  0.7490  0.7490  0.7490  13 Tl 3.43-3.67
Tl  0.0151  0.0151  0.5236  6 Tl 3.30-3.35, 1 Na 3.66
Tl  0.0151  0.5236  0.0151  6 Tl 3.30-3.35, 1 Na 3.66
Tl  0.1586  0.6547  0.6547  9 Tl 3.30-3.40, 1 Na 3.54
Tl  0.2968  0.2968  0.8167  9 Tl 3.35-3.66
Tl  0.2968  0.8167  0.2968  9 Tl 3.35-3.66
Tl  0.3646  0.6585  0.9501  7 Tl 3.30-3.65, 1 Na 3.67
Tl  0.3646  0.9501  0.6585  7 Tl 3.30-3.65, 1 Na 3.67
Tl  0.5236  0.0151  0.0151  6 Tl 3.30-3.35, 1 Na 3.66
Tl  0.5479  0.5479  0.5479  6 Tl 3.40-3.66, 1 Na 3.43
Tl  0.6547  0.1586  0.6547  9 Tl 3.30-3.40, 1 Na 3.54
Tl  0.6547  0.6547  0.1586  9 Tl 3.30-3.40, 1 Na 3.54
Tl  0.6585  0.3646  0.9501  7 Tl 3.30-3.65, 1 Na 3.67
Tl  0.6585  0.9501  0.3646  7 Tl 3.30-3.65, 1 Na 3.67
Tl  0.8167  0.2968  0.2968  9 Tl 3.35-3.66
Tl  0.9501  0.3646  0.6585  7 Tl 3.30-3.65, 1 Na 3.67
Tl  0.9501  0.6585  0.3646  7 Tl 3.30-3.65, 1 Na 3.67

- Space group: No. 160
- D(E_F): 9.3 states/eV per cell
- Energy of formation from the pure elements: -0.55 eV per formula unit
- Magnetic moment: 0.00 μB/cell

***

Si2BC | GGA-PBE | relaxed

Unit cell a=5.5248 b=5.5248 c=5.5248 alpha=131.04 beta=131.04 gamma=71.74
Last column: nearest neighbours and their distance in Å.
Positions (direct):
Si  0.1073  0.6250  0.9823  2 C 1.92, 2 B 2.02
Si  0.3750  0.3573  0.4823  2 C 1.92, 2 B 2.02
Si  0.6427  0.1250  0.0177  2 C 1.92, 2 B 2.02
Si  0.8750  0.8927  0.5177  2 C 1.92, 2 B 2.02
B  0.2500  0.7500  0.5000  4 Si 2.02
B  0.5000  0.5000  0.0000  4 Si 2.02
C  0.0000  0.0000  0.0000  4 Si 1.92
C  0.7500  0.2500  0.5000  4 Si 1.92

- Formation energy (no corrections): 0.173 eV per atom
- Space group: No. 122
- D(E_F): 3.6 states/eV per cell
- Magnetic moment: 0.00 μB/cell

***

Sc4Co2Os | GGA-PBE | relaxed

Unit cell a=4.5652 b=4.5652 c=13.2394 alpha=90.00 beta=90.00 gamma=120.03
Last column: nearest neighbours and their distance in Å.
Positions (direct):
Sc  0.0000  0.0000  0.0000  6 Co 2.73-2.74
Sc  0.0000  0.0000  0.5000  6 Co 2.73-2.74
Sc  0.3331  0.6669  0.6299  1 Co 2.45
Sc  0.3331  0.6669  0.8701  1 Co 2.45
Sc  0.3339  0.6661  0.2500  2 Co 2.58, 3 Os 2.63-2.64
Sc  0.6661  0.3339  0.7500  2 Co 2.58, 3 Os 2.63-2.64
Sc  0.6669  0.3331  0.1299  1 Co 2.45
Sc  0.6669  0.3331  0.3701  1 Co 2.45
Co  0.3334  0.6666  0.0554  5 Sc 2.45-2.74
Co  0.3334  0.6666  0.4446  5 Sc 2.45-2.74
Co  0.6666  0.3334  0.5554  5 Sc 2.45-2.74
Co  0.6666  0.3334  0.9446  5 Sc 2.45-2.74
Os  0.0008  0.9992  0.2500  3 Sc 2.63-2.64
Os  0.9992  0.0008  0.7500  3 Sc 2.63-2.64

- Space group: No. 63
- D(E_F): 12.5 states/eV per cell
- Energy of formation from the pure elements: -1.42 eV per formula unit
- Magnetic moment: 0.01 μB/cell

***

MgCrW2 | GGA-PBE | relaxed

Unit cell a=5.2427 b=5.2427 c=2.6654 alpha=99.70 beta=99.70 gamma=117.50
Last column: nearest neighbours and their distance in Å.
Positions (direct):
Mg  0.0000  0.0000  0.0000  2 Mg 2.67, 2 Cr 2.72, 4 W 2.73
Cr  0.5000  0.5000  0.0000  2 Cr 2.67, 2 Mg 2.72, 4 W 2.73
W  0.0000  0.5000  0.5000  4 W 2.67-2.72, 2 Cr 2.73, 2 Mg 2.73
W  0.5000  0.0000  0.5000  4 W 2.67-2.72, 2 Cr 2.73, 2 Mg 2.73

- Space group: No. 12
- D(E_F): 3.1 states/eV per cell
- Energy of formation from the pure elements: 1.69 eV per formula unit
- Magnetic moment: 0.00 μB/cell

***

TbPmHo5 | GGA-PBE | relaxed

Unit cell a=7.8762 b=7.8762 c=7.8762 alpha=137.13 beta=113.88 gamma=82.09
Last column: nearest neighbours and their distance in Å.
Positions (direct):
Tb  0.0000  0.0000  0.0000  6 Ho 3.04-3.26
Pm  0.5000  0.5000  0.0000  6 Ho 2.77-2.90
Ho  0.1781  0.5000  0.6781  1 Pm 2.77, 1 Ho 3.06
Ho  0.2555  0.2555  0.0000  1 Pm 2.90, 1 Tb 3.04
Ho  0.5000  0.0000  0.5000  2 Pm 2.88
Ho  0.7445  0.7445  0.0000  1 Pm 2.90, 1 Tb 3.04
Ho  0.8219  0.5000  0.3219  1 Pm 2.77, 1 Ho 3.06

- Space group: No. 71
- D(E_F): 8.5 states/eV per cell
- Energy of formation from the pure elements: 7.73 eV per formula unit
- Magnetic moment: 0.00 μB/cell

***

Cs2HAu | GGA-PBE | relaxed

Unit cell a=13.1261 b=13.1261 c=4.8762 alpha=90.00 beta=90.00 gamma=158.52
Last column: nearest neighbours and their distance in Å.
Positions (direct):
Cs  0.0723  0.9277  0.7500  1 H 3.11
Cs  0.3113  0.6887  0.7500  1 H 3.05
Cs  0.6887  0.3113  0.2500  1 H 3.05
Cs  0.9277  0.0723  0.2500  1 H 3.11
H  0.1929  0.8071  0.7500  2 Cs 3.05-3.11
H  0.8071  0.1929  0.2500  2 Cs 3.05-3.11
Au  0.4651  0.5349  0.7500  2 Au 3.03
Au  0.5349  0.4651  0.2500  2 Au 3.03

- Space group: No. 63
- Magnetic moment: 0.00 μB/cell
- Uncorrected energy: -9.27 eV/f.u.

***

KSb2Se | GGA-PBE | relaxed

Unit cell a=6.6357 b=6.6334 c=4.4941 alpha=70.23 beta=70.18 gamma=39.59
Last column: nearest neighbours and their distance in Å.
Positions (direct):
K  0.0000  0.0000  0.0000  4 Se 3.18, 4 Sb 3.32
Sb  0.0000  0.5000  0.0000  4 Sb 3.18, 2 K 3.32, 2 Se 3.32
Sb  0.5000  0.0000  0.5000  4 Sb 3.18, 2 K 3.32, 2 Se 3.32
Se  0.5000  0.5000  0.5000  4 K 3.18, 4 Sb 3.32

- Formation energy (no corrections): -0.198 eV per atom
- Space group: No. 69
- D(E_F): 1.9 states/eV per cell
- Magnetic moment: 0.00 μB/cell

***

KCd2HgPd | GGA-PBE | relaxed

Unit cell a=5.2938 b=5.2938 c=5.3858 alpha=90.00 beta=90.00 gamma=90.00
Last column: nearest neighbours and their distance in Å.
Positions (direct):
K  0.0000  0.0000  0.0000  4 Hg 3.74, 8 Cd 3.78
Cd  0.0000  0.5000  0.5000  2 Pd 2.65
Cd  0.5000  0.0000  0.5000  2 Pd 2.65
Hg  0.5000  0.5000  0.0000  2 Pd 2.69
Pd  0.5000  0.5000  0.5000  4 Cd 2.65, 2 Hg 2.69

- Space group: No. 123
- D(E_F): 1.7 states/eV per cell
- Energy of formation from the pure elements: -1.04 eV per formula unit
- Magnetic moment: 0.00 μB/cell

***

ZrSi2Rh | GGA-PBE | relaxed

Unit cell a=4.0669 b=4.0669 c=3.7394 alpha=90.00 beta=90.00 gamma=90.00
Last column: nearest neighbours and their distance in Å.
Positions (direct):
Zr  0.0000  0.0000  0.0000  8 Si 2.76, 4 Rh 2.88
Si  0.0000  0.5000  0.5000  4 Zr 2.76, 4 Rh 2.76, 4 Si 2.88
Si  0.5000  0.0000  0.5000  4 Zr 2.76, 4 Rh 2.76, 4 Si 2.88
Rh  0.5000  0.5000  0.0000  8 Si 2.76, 4 Zr 2.88

- Formation energy (no corrections): -0.570 eV per atom
- Space group: No. 123
- D(E_F): 2.6 states/eV per cell
- Magnetic moment: 0.00 μB/cell

***

Pr4CdN | GGA-PBE | relaxed

Unit cell a=5.3137 b=9.4692 c=7.4023 alpha=90.00 beta=90.00 gamma=90.00
Last column: nearest neighbours and their distance in Å.
Positions (direct):
Pr  0.2500  0.0498  0.2133  1 N 2.32
Pr  0.2500  0.2500  0.7075  1 N 2.31
Pr  0.2500  0.4502  0.2133  1 N 2.32
Pr  0.2500  0.7500  0.5906  2 N 2.66
Pr  0.7500  0.2500  0.4094  2 N 2.66
Pr  0.7500  0.5498  0.7867  1 N 2.32
Pr  0.7500  0.7500  0.2925  1 N 2.31
Pr  0.7500  0.9502  0.7867  1 N 2.32
Cd  0.2500  0.7500  0.0094  5 Pr 3.10-3.38
Cd  0.7500  0.2500  0.9906  5 Pr 3.10-3.38
N  0.2500  0.2500  0.3950  3 Pr 2.31-2.32
N  0.7500  0.7500  0.6050  3 Pr 2.31-2.32

- Formation energy (no corrections): -0.425 eV per atom
- Space group: No. 59
- D(E_F): 12.2 states/eV per cell
- Magnetic moment: 0.00 μB/cell

***

Q: Among the records above, which one has the highest magnetic moment?
A: Li2UTl2Se4